(1)
This record from Alexandria describes ZnAs2Rh2 after structural relaxation. The functional is PBE.

Lattice parameters (Å, degrees): 6.983 6.983 3.324 90.00 90.00 90.00
Fractional coordinates of all 10 atoms:
As  0.848  0.348  0.500
As  0.152  0.652  0.500
As  0.652  0.848  0.500
As  0.348  0.152  0.500
Zn  0.500  0.500  0.000
Zn  0.000  0.000  0.000
Rh  0.351  0.851  0.000
Rh  0.149  0.351  0.000
Rh  0.649  0.149  0.000
Rh  0.851  0.649  0.000

DOS at the Fermi energy   1.41 states/eV/f.u.
Energy of formation   -0.176 eV/atom
Excess energy over the best structure of this formula in the dataset   0 meV per atom
E   -52.3 eV per cell



(2)
This record from Alexandria describes Na2Al2GaAu5 after structural relaxation. The functional is PBE.

Lattice parameters (Å, degrees): 2.917 11.552 11.552 90.00 90.00 90.00
Fractional coordinates of all 20 atoms:
Au  0.500  0.000  0.500
Au  0.500  0.188  0.072
Au  0.500  0.312  0.572
Au  0.500  0.428  0.312
Au  0.500  0.572  0.688
Au  0.500  0.688  0.428
Au  0.500  0.928  0.188
Au  0.500  0.500  0.000
Au  0.500  0.072  0.812
Au  0.500  0.812  0.928
Al  0.000  0.634  0.866
Al  0.000  0.366  0.134
Al  0.000  0.866  0.366
Al  0.000  0.134  0.634
Na  0.000  0.171  0.329
Na  0.000  0.829  0.671
Na  0.000  0.671  0.171
Na  0.000  0.329  0.829
Ga  0.000  0.500  0.500
Ga  0.000  0.000  0.000

DOS at the Fermi energy   1.92 states/eV/f.u.
Energy of formation   -0.374 eV/atom
E   -66.6 eV per cell



(3)
This record from Alexandria describes Na2SrSeO4 after structural relaxation. The functional is PBE.

Lattice parameters (Å, degrees): 5.607 5.607 5.607 94.76 117.29 117.29
Fractional coordinates of all 8 atoms:
Na  0.500  0.750  0.250
Na  0.000  0.000  0.000
O  0.439  0.804  0.821
O  0.983  0.179  0.618
O  0.017  0.635  0.196
O  0.561  0.382  0.365
Se  0.000  0.500  0.500
Sr  0.500  0.250  0.750

ΔE_f (raw)   -1.46 eV/atom
E   -39.3 eV per cell



(4)
This record from Alexandria describes Er2ReRu3 after structural relaxation. The functional is PBE.

Lattice parameters (Å, degrees): 5.472 5.472 8.255 90.00 90.00 120.00
Fractional coordinates of all 12 atoms:
Ru  0.343  0.171  0.750
Ru  0.829  0.171  0.750
Ru  0.829  0.657  0.750
Ru  0.171  0.829  0.250
Ru  0.171  0.343  0.250
Ru  0.657  0.829  0.250
Er  0.667  0.333  0.438
Er  0.333  0.667  0.562
Er  0.667  0.333  0.062
Er  0.333  0.667  0.938
Re  0.000  0.000  0.500
Re  0.000  0.000  0.000

DOS at the Fermi energy   4.58 states/eV/f.u.
Energy of formation   -0.341 eV/atom
E   -102.9 eV per cell



(5)
This record from Alexandria describes Ac4CeEu after structural relaxation. The functional is PBE.

Lattice parameters (Å, degrees): 7.316 7.316 7.316 60.00 60.00 60.00
Fractional coordinates of all 6 atoms:
Ac  0.626  0.123  0.626
Ac  0.626  0.626  0.123
Ac  0.123  0.626  0.626
Ac  0.626  0.626  0.626
Eu  0.250  0.250  0.250
Ce  0.000  0.000  0.000

DOS at the Fermi energy   21.90 states/eV/f.u.
Energy of formation   0.348 eV/atom
E   -30.6 eV per cell



(6)
This record from Alexandria describes KRuI2N after structural relaxation. The functional is PBE.

Lattice parameters (Å, degrees): 6.388 6.388 4.988 90.00 90.00 90.00
Fractional coordinates of all 5 atoms:
K  0.000  0.000  0.000
Ru  0.500  0.500  0.500
I  0.000  0.500  0.000
I  0.500  0.000  0.000
N  0.000  0.000  0.500

DOS at the Fermi energy   8.31 states/eV/f.u.
ΔE_f (raw)   1.65 eV/atom
Excess energy over the best structure of this formula in the dataset   1830 meV per atom
E   -13.6 eV per cell



(7)
This record from Alexandria describes PuUOs2 after structural relaxation. The functional is PBE.

Lattice parameters (Å, degrees): 3.475 3.475 6.449 90.00 90.00 90.00
Fractional coordinates of all 4 atoms:
U  0.500  0.500  0.000
Pu  0.500  0.500  0.500
Os  0.000  0.000  0.764
Os  0.000  0.000  0.236

DOS at the Fermi energy   8.18 states/eV/f.u.
Energy of formation   0.007 eV/atom
E   -48.1 eV per cell



(8)
This record from Alexandria describes Ac3Al7Zn4 after structural relaxation. The functional is PBE.

Lattice parameters (Å, degrees): 4.510 8.734 8.710 71.82 75.00 75.04
Fractional coordinates of all 14 atoms:
Zn  0.663  0.465  0.209
Zn  0.337  0.535  0.791
Zn  0.139  0.089  0.634
Zn  0.861  0.911  0.366
Al  0.851  0.380  0.918
Al  0.506  0.777  0.211
Al  0.000  0.000  0.000
Al  0.340  0.798  0.522
Al  0.494  0.223  0.789
Al  0.149  0.620  0.082
Al  0.660  0.202  0.478
Ac  0.687  0.820  0.805
Ac  0.313  0.180  0.195
Ac  0.000  0.500  0.500

DOS at the Fermi energy   5.16 states/eV/f.u.
Energy of formation   -0.314 eV/atom
E   -48.0 eV per cell



Number 4 is which compound? Er2ReRu3



What is the formula in the first record? ZnAs2Rh2